DFT (PBE with a Hubbard U) results for a relaxed structure of YCrSeO2.

Properties
The theoretical density comes out at 5.10 g/cm3. The uncorrected energy is -7.4707 eV per atom. As for the magnetization: 11.99 μB/cell.

abc: 5.286 11.817 5.250
angles: 90.00 90.00 90.00
Space group Cmcm (No. 63)
Unique sites:
Y (0.000, 0.110, 0.250) (multiplicity 4)
Cr (0.000, 0.438, 0.250) (multiplicity 4)
Se (0.000, 0.257, 0.750) (multiplicity 4)
O (0.243, 0.500, 0.000) (multiplicity 8)